# 1
# PBE Ba3SrH, optimized geometry
data_Ba3SrH
_cell_length_a 6.113
_cell_length_b 6.113
_cell_length_c 6.113
_cell_angle_alpha 90.00
_cell_angle_beta 90.00
_cell_angle_gamma 90.00
_space_group_name_H-M_alt 'P 1'
_space_group_IT_number 1
_space_group_name_Hall 'P 1'
loop_
_atom_site_label
_atom_site_type_symbol
_atom_site_fract_x
_atom_site_fract_y
_atom_site_fract_z
Sr1 Sr 0.500 0.500 0.500
Ba1 Ba 0.000 0.500 0.000
Ba2 Ba 0.000 0.000 0.500
Ba3 Ba 0.500 0.000 0.000
H1 H 0.000 0.000 0.000
# Magnetic moment (μB/atom): 0.000
# Total DFT energy (no corrections) (eV per atom): -2.2721

# 2
# PBE Tb4HoHg, optimized geometry
data_Tb4HoHg
_cell_length_a 3.579
_cell_length_b 3.579
_cell_length_c 14.028
_cell_angle_alpha 90.00
_cell_angle_beta 90.00
_cell_angle_gamma 90.00
_space_group_name_H-M_alt 'P 1'
_space_group_IT_number 1
_space_group_name_Hall 'P 1'
loop_
_atom_site_label
_atom_site_type_symbol
_atom_site_fract_x
_atom_site_fract_y
_atom_site_fract_z
Tb1 Tb 0.500 0.500 0.177
Tb2 Tb 0.000 0.000 0.644
Tb3 Tb 0.000 0.000 0.356
Tb4 Tb 0.500 0.500 0.823
Ho1 Ho 0.000 0.000 0.000
Hg1 Hg 0.500 0.500 0.500
# ΔH_f (0 K) (eV/atom): -0.145
# Magnetic moment (μB/atom): 0.000

# 3
# PBE ThMgZn2Pt4, optimized geometry
data_ThMgZn2Pt4
_cell_length_a 4.384
_cell_length_b 4.384
_cell_length_c 8.919
_cell_angle_alpha 75.77
_cell_angle_beta 75.77
_cell_angle_gamma 60.00
_space_group_name_H-M_alt 'P 1'
_space_group_IT_number 1
_space_group_name_Hall 'P 1'
loop_
_atom_site_label
_atom_site_type_symbol
_atom_site_fract_x
_atom_site_fract_y
_atom_site_fract_z
Th1 Th 0.000 0.000 0.000
Mg1 Mg 0.500 0.500 0.500
Zn1 Zn 0.762 0.762 0.714
Zn2 Zn 0.238 0.238 0.286
Pt1 Pt 0.397 0.397 0.808
Pt2 Pt 0.872 0.872 0.385
Pt3 Pt 0.128 0.128 0.615
Pt4 Pt 0.603 0.603 0.192
# ΔH_f (0 K) (eV/atom): -0.823
# Magnetic moment (μB/atom): 0.000

# 4
# PBE HoTm3Ga2, optimized geometry
data_HoTm3Ga2
_cell_length_a 4.859
_cell_length_b 6.550
_cell_length_c 9.348
_cell_angle_alpha 90.00
_cell_angle_beta 90.00
_cell_angle_gamma 90.00
_space_group_name_H-M_alt 'P 1'
_space_group_IT_number 1
_space_group_name_Hall 'P 1'
loop_
_atom_site_label
_atom_site_type_symbol
_atom_site_fract_x
_atom_site_fract_y
_atom_site_fract_z
Ho1 Ho 0.500 0.537 0.549
Ho2 Ho 0.500 0.037 0.451
Tm1 Tm 0.000 0.463 0.950
Tm2 Tm 0.000 0.963 0.050
Tm3 Tm 0.500 0.670 0.181
Tm4 Tm 0.500 0.170 0.819
Tm5 Tm 0.000 0.330 0.316
Tm6 Tm 0.000 0.830 0.684
Ga1 Ga 0.500 0.712 0.862
Ga2 Ga 0.500 0.212 0.138
Ga3 Ga 0.000 0.288 0.638
Ga4 Ga 0.000 0.788 0.362
# ΔH_f (0 K) (eV/atom): -0.434
# Magnetic moment (μB/atom): 0.000

# 5
# PBE ZnFeP, optimized geometry
data_ZnFeP
_cell_length_a 3.873
_cell_length_b 3.873
_cell_length_c 3.873
_cell_angle_alpha 60.00
_cell_angle_beta 60.00
_cell_angle_gamma 60.00
_space_group_name_H-M_alt 'P 1'
_space_group_IT_number 1
_space_group_name_Hall 'P 1'
loop_
_atom_site_label
_atom_site_type_symbol
_atom_site_fract_x
_atom_site_fract_y
_atom_site_fract_z
Fe1 Fe 0.500 0.500 0.500
P1 P 0.750 0.750 0.750
Zn1 Zn 0.000 0.000 0.000
# ΔH_f (0 K) (eV/atom): 0.029
# Magnetic moment (μB/atom): 0.467

# 6
# PBE MnV2W, optimized geometry
data_MnV2W
_cell_length_a 6.664
_cell_length_b 6.664
_cell_length_c 5.363
_cell_angle_alpha 51.59
_cell_angle_beta 51.59
_cell_angle_gamma 90.00
_space_group_name_H-M_alt 'P 1'
_space_group_IT_number 1
_space_group_name_Hall 'P 1'
loop_
_atom_site_label
_atom_site_type_symbol
_atom_site_fract_x
_atom_site_fract_y
_atom_site_fract_z
Mn1 Mn 0.500 0.500 0.000
Mn2 Mn 0.250 0.750 0.500
W1 W 0.000 0.000 0.000
W2 W 0.750 0.250 0.500
V1 V 0.596 0.125 0.250
V2 V 0.154 0.625 0.250
V3 V 0.375 0.404 0.750
V4 V 0.875 0.846 0.750
# ΔH_f (0 K) (eV/atom): 0.556
# Magnetic moment (μB/atom): 0.000

# 7
# PBE Ta2Ge6Mo, optimized geometry
data_Ta2Ge6Mo
_cell_length_a 4.946
_cell_length_b 4.979
_cell_length_c 6.775
_cell_angle_alpha 90.00
_cell_angle_beta 90.00
_cell_angle_gamma 119.78
_space_group_name_H-M_alt 'P 1'
_space_group_IT_number 1
_space_group_name_Hall 'P 1'
loop_
_atom_site_label
_atom_site_type_symbol
_atom_site_fract_x
_atom_site_fract_y
_atom_site_fract_z
Ta1 Ta 0.000 0.500 0.663
Ta2 Ta 0.500 0.500 0.337
Ge1 Ge 0.834 0.668 0.000
Ge2 Ge 0.328 0.161 0.670
Ge3 Ge 0.833 0.161 0.330
Ge4 Ge 0.166 0.332 0.000
Ge5 Ge 0.672 0.839 0.670
Ge6 Ge 0.167 0.839 0.330
Mo1 Mo 0.500 0.000 0.000
# ΔH_f (0 K) (eV/atom): -0.180
# Magnetic moment (μB/atom): 0.000

# 8
# PBE Nd4SbH, optimized geometry
data_Nd4SbH
_cell_length_a 6.090
_cell_length_b 6.276
_cell_length_c 10.301
_cell_angle_alpha 117.92
_cell_angle_beta 107.13
_cell_angle_gamma 90.05
_space_group_name_H-M_alt 'P 1'
_space_group_IT_number 1
_space_group_name_Hall 'P 1'
loop_
_atom_site_label
_atom_site_type_symbol
_atom_site_fract_x
_atom_site_fract_y
_atom_site_fract_z
Nd1 Nd 0.614 0.066 0.818
Nd2 Nd 0.798 0.434 0.181
Nd3 Nd 0.386 0.934 0.182
Nd4 Nd 0.202 0.566 0.819
Nd5 Nd 0.922 0.895 0.593
Nd6 Nd 0.329 0.605 0.407
Nd7 Nd 0.078 0.105 0.407
Nd8 Nd 0.671 0.395 0.593
Sb1 Sb 0.780 0.751 0.000
Sb2 Sb 0.220 0.249 0.000
H1 H 0.500 0.000 0.500
H2 H 0.000 0.500 0.500
# Magnetic moment (μB/atom): 0.000
# Total DFT energy (no corrections) (eV per atom): -4.7241

# 9
# PBE MgScCd2, optimized geometry
data_MgScCd2
_cell_length_a 3.280
_cell_length_b 3.280
_cell_length_c 8.248
_cell_angle_alpha 90.00
_cell_angle_beta 90.00
_cell_angle_gamma 90.00
_space_group_name_H-M_alt 'P 1'
_space_group_IT_number 1
_space_group_name_Hall 'P 1'
loop_
_atom_site_label
_atom_site_type_symbol
_atom_site_fract_x
_atom_site_fract_y
_atom_site_fract_z
Cd1 Cd 0.000 0.000 0.004
Cd2 Cd 0.500 0.500 0.250
Mg1 Mg 0.000 0.000 0.488
Sc1 Sc 0.500 0.500 0.758
# ΔH_f (0 K) (eV/atom): -0.127
# Magnetic moment (μB/atom): 0.064

# 10
# PBE NaLi6Mg3, optimized geometry
data_NaLi6Mg3
_cell_length_a 4.995
_cell_length_b 8.461
_cell_length_c 10.569
_cell_angle_alpha 104.92
_cell_angle_beta 90.00
_cell_angle_gamma 90.00
_space_group_name_H-M_alt 'P 1'
_space_group_IT_number 1
_space_group_name_Hall 'P 1'
loop_
_atom_site_label
_atom_site_type_symbol
_atom_site_fract_x
_atom_site_fract_y
_atom_site_fract_z
Na1 Na 0.250 0.950 0.605
Na2 Na 0.750 0.050 0.395
Li1 Li 0.250 0.446 0.102
Li2 Li 0.750 0.554 0.898
Li3 Li 0.250 0.153 0.195
Li4 Li 0.750 0.847 0.805
Li5 Li 0.250 0.644 0.698
Li6 Li 0.750 0.356 0.302
Li7 Li 0.250 0.272 0.510
Li8 Li 0.750 0.728 0.490
Li9 Li 0.250 0.833 0.283
Li10 Li 0.750 0.167 0.717
Li11 Li 0.250 0.055 0.911
Li12 Li 0.750 0.945 0.089
Mg1 Mg 0.250 0.545 0.393
Mg2 Mg 0.750 0.455 0.607
Mg3 Mg 0.250 0.361 0.811
Mg4 Mg 0.750 0.639 0.189
Mg5 Mg 0.250 0.743 0.997
Mg6 Mg 0.750 0.257 0.003
# ΔH_f (0 K) (eV/atom): -0.011
# Magnetic moment (μB/atom): 0.000

# 11
# PBE BaLiZnGa, optimized geometry
data_BaLiZnGa
_cell_length_a 4.538
_cell_length_b 4.538
_cell_length_c 6.522
_cell_angle_alpha 69.64
_cell_angle_beta 69.64
_cell_angle_gamma 60.00
_space_group_name_H-M_alt 'P 1'
_space_group_IT_number 1
_space_group_name_Hall 'P 1'
loop_
_atom_site_label
_atom_site_type_symbol
_atom_site_fract_x
_atom_site_fract_y
_atom_site_fract_z
Ba1 Ba 0.808 0.808 0.576
Li1 Li 0.308 0.308 0.075
Zn1 Zn 0.993 0.993 0.020
Ga1 Ga 0.616 0.616 0.151
# ΔH_f (0 K) (eV/atom): -0.269
# Magnetic moment (μB/atom): 0.000

# 12
# PBE Na3Dy3ThTe8, optimized geometry
data_Na3Dy3ThTe8
_cell_length_a 8.868
_cell_length_b 8.868
_cell_length_c 9.164
_cell_angle_alpha 118.96
_cell_angle_beta 90.00
_cell_angle_gamma 120.00
_space_group_name_H-M_alt 'P 1'
_space_group_IT_number 1
_space_group_name_Hall 'P 1'
loop_
_atom_site_label
_atom_site_type_symbol
_atom_site_fract_x
_atom_site_fract_y
_atom_site_fract_z
Na1 Na 0.000 0.000 0.000
Na2 Na 0.000 0.500 0.000
Na3 Na 0.500 0.500 0.000
Dy1 Dy 0.500 0.000 0.500
Dy2 Dy 0.500 0.500 0.500
Dy3 Dy 0.000 0.500 0.500
Th1 Th 0.000 0.000 0.500
Te1 Te 0.256 0.512 0.268
Te2 Te 0.744 0.488 0.732
Te3 Te 0.752 0.505 0.267
Te4 Te 0.248 0.495 0.733
Te5 Te 0.752 0.014 0.267
Te6 Te 0.248 0.986 0.733
Te7 Te 0.262 0.014 0.267
Te8 Te 0.738 0.986 0.733
# Magnetic moment (μB/atom): 0.000
# Formation energy from raw total energies (meV/atom): -1284.4